The following is a PBE calculation of NpMnVSb after structural relaxation, from Alexandria.

extended XYZ file:
```
4
Lattice="4.589 0.000 0.000 2.295 3.974 0.000 2.295 1.325 3.747" Properties=species:S:1:pos:R:3 pbc="T T T"
Mn 0.000 0.000 0.000
V 4.589 2.650 1.874
Sb 2.295 1.325 0.937
Np 6.884 3.974 2.810
```

Output
calculated volume = 68.3 Å³ per cell
uncorrected formation energy = 3.300 kcal/mol of atoms


The following is a PBE calculation of NpScMn4 after structural relaxation, from Alexandria.

extended XYZ file:
```
6
Lattice="4.959 0.000 0.000 2.480 4.295 0.000 2.480 1.432 4.049" Properties=species:S:1:pos:R:3 pbc="T T T"
Mn 4.959 2.863 0.504
Mn 6.201 3.580 2.532
Mn 4.959 1.430 2.532
Mn 3.718 3.580 2.532
Np 2.480 1.432 1.012
Sc 0.000 0.000 0.000
```

Output
formation energy from the elements = 0.127 eV/atom
calculated volume = 86.3 Å³ per cell


The following is a PBE calculation of NpScMnTc after structural relaxation, from Alexandria.

extended XYZ file:
```
4
Lattice="4.624 0.000 0.000 2.312 4.004 0.000 2.312 1.335 3.775" Properties=species:S:1:pos:R:3 pbc="T T T"
Sc 6.936 4.004 2.832
Tc 0.000 0.000 0.000
Np 2.312 1.335 0.944
Mn 4.624 2.670 1.888
```

Output
formation energy from the elements = 0.044 eV/atom
calculated volume = 69.9 Å³ per cell


The following is a PBE calculation of Np3Mn5Se12 after structural relaxation, from Alexandria.

extended XYZ file:
```
80
Lattice="-4.091 -2.796 -12.696 13.501 -1.641 0.888 -6.186 -8.443 8.729" Properties=species:S:1:pos:R:3 pbc="T T T"
Se -3.369 -3.600 -6.038
Se -0.852 -4.441 3.090
Se 7.704 -2.447 -1.328
Se 0.190 -4.363 -2.140
Se 3.369 -5.273 -0.040
Se 6.420 -8.925 -0.704
Se 3.320 -9.981 2.465
Se 4.690 -10.371 5.533
Se 3.478 -6.142 -3.307
Se -4.481 -10.432 -1.752
Se -6.414 -7.962 -6.050
Se -3.534 -7.203 -3.252
Se 2.903 -5.137 -10.174
Se 9.637 -4.917 2.970
Se 2.530 -10.551 -3.969
Se -3.640 -6.313 0.008
Se -0.145 -7.606 -3.039
Se -0.718 -8.441 3.912
Se 6.685 -3.139 -4.518
Se -1.288 -11.120 -2.629
Se -0.097 -2.899 -5.545
Se 3.490 -2.473 -3.634
Se 6.592 -9.280 2.958
Se -2.565 -6.829 -6.822
Se 0.321 -7.742 7.094
Se -1.467 -2.508 -8.612
Se 4.075 -8.438 -6.170
Se 3.941 -4.438 -6.992
Se 3.869 -7.143 6.304
Se 6.757 -5.676 0.173
Se 0.704 -6.134 -6.308
Se 3.034 -8.516 -0.940
Se -0.266 -10.406 0.555
Se -3.197 -3.955 -2.375
Se 4.511 -1.759 -0.450
Se 8.721 -4.115 -9.335
Se -3.462 -9.740 1.438
Se 5.789 -6.050 3.743
Se -3.934 -6.651 4.070
Se -5.498 -8.764 6.256
Se -0.254 -6.737 0.228
Se 2.519 -6.745 3.228
Se -0.645 -5.736 -9.383
Se 7.157 -6.229 -7.149
Se -7.961 -10.091 -3.866
Se 6.864 -6.567 -3.088
Se 11.184 -2.789 0.786
Se 0.694 -2.328 0.890
Mn 7.710 -5.294 -4.976
Mn 6.750 -0.820 0.444
Mn -5.139 -5.619 -1.984
Mn 1.068 -2.514 -3.448
Mn 2.156 -10.365 0.369
Mn 0.218 -9.804 -4.008
Mn 3.005 -3.075 0.928
Mn 1.612 -6.440 -1.540
Mn 0.000 0.000 0.000
Mn -4.486 -7.586 1.897
Mn 7.294 -4.746 2.352
Mn 3.657 -5.042 4.808
Mn 10.017 -3.190 -1.306
Mn 4.705 -2.218 -5.904
Mn -2.046 -1.398 -6.348
Mn -6.794 -9.689 -1.773
Mn 0.174 -6.591 2.615
Mn -3.093 -4.221 4.365
Mn -4.071 -8.133 -5.432
Mn 3.050 -6.288 -5.694
Np -2.134 -8.695 -1.055
Np -2.549 -8.147 6.273
Np 1.221 -3.767 -8.098
Np -3.439 -4.762 -8.816
Np 5.772 -4.732 -9.352
Np -1.655 -4.070 0.210
Np 5.357 -4.185 -2.024
Np 4.878 -8.809 -3.290
Np 2.002 -9.112 5.019
Np 4.725 -7.556 1.360
Np 6.662 -8.117 5.737
Np -1.502 -5.324 -4.440
```

Output
calculated volume = 1948.8 Å³ per cell
uncorrected formation energy = -16.143 kcal/mol of atoms